## NdZn3Co (PBE)

Data for a relaxed structure of NdZn3Co.

Unit cell a=6.448 b=6.448 c=6.448 alpha=122.13 beta=90.30 gamma=117.58
Fractional coordinates of all 10 atoms:
Nd1 0.327 0.077 0.250
Nd2 0.673 0.923 0.750
Zn1 0.184 0.434 0.750
Zn2 0.212 0.000 0.712
Zn3 0.212 0.500 0.212
Zn4 0.788 0.000 0.288
Zn5 0.788 0.500 0.788
Zn6 0.816 0.566 0.250
Co1 0.000 0.500 0.500
Co2 0.500 0.500 0.000

crystal system: orthorhombic
energy of formation from the pure elements: -154 meV/atom
N(E_F): 3.86 states/eV/f.u.
space group: No. 74
mass density: 6.99 g cm⁻³
energy relative to the lowest polymorph listed for this composition: 0.0 meV/atom

---

## ReW2Au (PBE)

Data for a relaxed structure of ReW2Au.

Unit cell a=4.880 b=4.880 c=4.880 alpha=131.53 beta=131.53 gamma=70.98
Fractional coordinates of all 4 atoms:
Re1 0.000 0.000 0.000
W1 0.250 0.750 0.500
W2 0.750 0.250 0.500
Au1 0.500 0.500 0.000

crystal system: tetragonal
energy of formation from the pure elements: 278 meV/atom
N(E_F): 2.13 states/eV/f.u.
space group: No. 139
mass density: 19.54 g cm⁻³
energy relative to the lowest polymorph listed for this composition: 8.5 meV/atom

---

## Ba2ZrCoN (PBE)

Data for a relaxed structure of Ba2ZrCoN.

Unit cell a=5.950 b=5.950 c=3.523 alpha=90.00 beta=90.00 gamma=90.00
Fractional coordinates of all 5 atoms:
Ba1 0.000 0.500 0.000
Ba2 0.500 0.000 0.000
Zr1 0.000 0.000 0.500
Co1 0.500 0.500 0.500
N1 0.500 0.500 0.000

VASP energy: -5.29 eV/atom
crystal system: tetragonal
N(E_F): 5.43 states/eV/f.u.
space group: No. 123
mass density: 5.84 g cm⁻³

---

## YTl (PBE)

Data for a relaxed structure of YTl.

Unit cell a=7.727 b=7.727 c=7.727 alpha=95.02 beta=95.02 gamma=145.60
Fractional coordinates of all 8 atoms:
Y1 0.000 0.312 0.312
Y2 0.000 0.688 0.688
Y3 0.312 0.000 0.312
Y4 0.688 0.000 0.688
Tl1 0.326 0.326 0.653
Tl2 0.326 0.674 0.000
Tl3 0.674 0.326 0.000
Tl4 0.674 0.674 0.347

crystal system: tetragonal
energy of formation from the pure elements: -132 meV/atom
N(E_F): 2.98 states/eV/f.u.
space group: No. 139
mass density: 7.82 g cm⁻³

---

## KBe2Al (PBE)

Data for a relaxed structure of KBe2Al.

Unit cell a=6.151 b=6.151 c=6.151 alpha=156.31 beta=123.01 gamma=62.58
Fractional coordinates of all 4 atoms:
K1 0.000 0.000 0.000
Be1 0.313 0.813 0.500
Be2 0.484 0.484 0.000
Al1 0.687 0.187 0.500

crystal system: orthorhombic
energy of formation from the pure elements: 747 meV/atom
N(E_F): 1.27 states/eV/f.u.
space group: No. 44
mass density: 1.79 g cm⁻³

---

## LiHfNbO6 (PBE)

Data for a relaxed structure of LiHfNbO6.

Unit cell a=5.272 b=5.272 c=4.658 alpha=90.00 beta=90.00 gamma=120.00
Fractional coordinates of all 9 atoms:
Li1 0.000 0.000 0.000
Hf1 0.333 0.667 0.500
Nb1 0.667 0.333 0.000
O1 0.366 0.002 0.236
O2 0.366 0.364 0.764
O3 0.636 0.002 0.764
O4 0.636 0.634 0.236
O5 0.998 0.364 0.236
O6 0.998 0.634 0.764

VASP energy: -8.01 eV/atom
crystal system: trigonal
N(E_F): 5.01 states/eV/f.u.
space group: No. 149
mass density: 5.55 g cm⁻³

---

## ScBe2Ni (PBE)

Data for a relaxed structure of ScBe2Ni.

Unit cell a=4.105 b=4.105 c=2.940 alpha=90.00 beta=90.00 gamma=90.00
Fractional coordinates of all 4 atoms:
Sc1 0.000 0.000 0.000
Be1 0.000 0.500 0.500
Be2 0.500 0.000 0.500
Ni1 0.500 0.500 0.000

crystal system: tetragonal
energy of formation from the pure elements: 140 meV/atom
N(E_F): 2.93 states/eV/f.u.
space group: No. 123
mass density: 4.08 g cm⁻³
energy relative to the lowest polymorph listed for this composition: 421.9 meV/atom

---

## BeGaBr3 (PBE)

Data for a relaxed structure of BeGaBr3.

Unit cell a=5.228 b=5.228 c=5.228 alpha=90.00 beta=90.00 gamma=90.00
Fractional coordinates of all 5 atoms:
Be1 0.000 0.000 0.000
Ga1 0.500 0.500 0.500
Br1 0.000 0.500 0.500
Br2 0.500 0.000 0.500
Br3 0.500 0.500 0.000

crystal system: cubic
N(E_F): 1.95 states/eV/f.u.
space group: No. 221
mass density: 3.70 g cm⁻³
energy relative to the lowest polymorph listed for this composition: 985.1 meV/atom

---

## BaMgPt2 (PBE)

Data for a relaxed structure of BaMgPt2.

Unit cell a=3.453 b=3.453 c=7.363 alpha=90.00 beta=90.00 gamma=90.00
Fractional coordinates of all 4 atoms:
Ba1 0.000 0.000 0.000
Mg1 0.000 0.000 0.500
Pt1 0.500 0.500 0.309
Pt2 0.500 0.500 0.691

crystal system: tetragonal
energy of formation from the pure elements: -575 meV/atom
N(E_F): 1.80 states/eV/f.u.
space group: No. 123
mass density: 10.44 g cm⁻³

---

## Zn2AsP (PBE)

Data for a relaxed structure of Zn2AsP.

Unit cell a=5.741 b=5.741 c=3.745 alpha=108.25 beta=108.25 gamma=37.38
Fractional coordinates of all 4 atoms:
Zn1 0.237 0.237 0.237
Zn2 0.763 0.763 0.763
As1 0.500 0.500 0.500
P1 0.000 0.000 0.000

crystal system: monoclinic
energy of formation from the pure elements: 169 meV/atom
N(E_F): 1.47 states/eV/f.u.
space group: No. 12
mass density: 5.56 g cm⁻³
energy relative to the lowest polymorph listed for this composition: 114.0 meV/atom

---

## TbErAl (PBE)

Data for a relaxed structure of TbErAl.

Unit cell a=4.714 b=4.714 c=7.474 alpha=90.00 beta=90.00 gamma=90.00
Fractional coordinates of all 6 atoms:
Tb1 0.250 0.250 0.225
Tb2 0.750 0.750 0.775
Er1 0.250 0.250 0.755
Er2 0.750 0.750 0.245
Al1 0.250 0.750 0.500
Al2 0.750 0.250 0.500

crystal system: tetragonal
energy of formation from the pure elements: -77 meV/atom
N(E_F): 3.10 states/eV/f.u.
space group: No. 129
mass density: 7.06 g cm⁻³
energy relative to the lowest polymorph listed for this composition: 176.6 meV/atom

---

## Sm2Cu3Hg (PBE)

Data for a relaxed structure of Sm2Cu3Hg.

Unit cell a=8.774 b=8.774 c=8.774 alpha=154.06 beta=154.03 gamma=37.04
Fractional coordinates of all 6 atoms:
Sm1 0.000 0.000 0.000
Sm2 0.724 0.224 0.500
Cu1 0.150 0.650 0.500
Cu2 0.296 0.796 0.500
Cu3 0.566 0.566 0.000
Hg1 0.399 0.399 0.000

crystal system: orthorhombic
energy of formation from the pure elements: -238 meV/atom
N(E_F): 2.44 states/eV/f.u.
space group: No. 44
mass density: 8.89 g cm⁻³
energy relative to the lowest polymorph listed for this composition: 9.0 meV/atom

---

## GaOsS2 (PBE)

Data for a relaxed structure of GaOsS2.

Unit cell a=7.652 b=7.652 c=7.652 alpha=24.68 beta=24.68 gamma=24.68
Fractional coordinates of all 4 atoms:
Ga1 0.000 0.000 0.000
Os1 0.500 0.500 0.500
S1 0.400 0.400 0.400
S2 0.600 0.600 0.600

VASP energy: -5.35 eV/atom
crystal system: trigonal
N(E_F): 2.70 states/eV/f.u.
space group: No. 166
mass density: 7.83 g cm⁻³

---

## Cs2SnF7 (PBE)

Data for a relaxed structure of Cs2SnF7.

Unit cell a=8.282 b=8.282 c=11.045 alpha=128.06 beta=128.06 gamma=49.82
Fractional coordinates of all 20 atoms:
Cs1 0.100 0.249 0.265
Cs2 0.249 0.100 0.765
Cs3 0.751 0.900 0.235
Cs4 0.900 0.751 0.735
Sn1 0.469 0.531 0.250
Sn2 0.531 0.469 0.750
F1 0.165 0.835 0.250
F2 0.230 0.636 0.594
F3 0.257 0.561 0.018
F4 0.314 0.376 0.199
F5 0.364 0.770 0.906
F6 0.376 0.314 0.699
F7 0.439 0.743 0.482
F8 0.561 0.257 0.518
F9 0.624 0.686 0.301
F10 0.636 0.230 0.094
F11 0.686 0.624 0.801
F12 0.743 0.439 0.982
F13 0.770 0.364 0.406
F14 0.835 0.165 0.750

VASP energy: -4.30 eV/atom
crystal system: monoclinic
space group: No. 15
mass density: 4.05 g cm⁻³

---

## Nb14RePt (PBE)

Data for a relaxed structure of Nb14RePt.

Unit cell a=6.552 b=6.552 c=6.598 alpha=90.00 beta=90.00 gamma=90.00
Fractional coordinates of all 16 atoms:
Nb1 0.000 0.000 0.000
Nb2 0.000 0.500 0.000
Nb3 0.000 0.500 0.500
Nb4 0.247 0.247 0.253
Nb5 0.247 0.247 0.747
Nb6 0.247 0.753 0.253
Nb7 0.247 0.753 0.747
Nb8 0.500 0.000 0.000
Nb9 0.500 0.000 0.500
Nb10 0.500 0.500 0.000
Nb11 0.753 0.247 0.253
Nb12 0.753 0.247 0.747
Nb13 0.753 0.753 0.253
Nb14 0.753 0.753 0.747
Re1 0.000 0.000 0.500
Pt1 0.500 0.500 0.500

crystal system: tetragonal
energy of formation from the pure elements: -183 meV/atom
N(E_F): 13.81 states/eV/f.u.
space group: No. 123
mass density: 9.86 g cm⁻³

---

## LiZnPt2 (PBE)

Data for a relaxed structure of LiZnPt2.

Unit cell a=4.473 b=4.473 c=2.864 alpha=90.00 beta=90.00 gamma=100.95
Fractional coordinates of all 4 atoms:
Li1 0.000 0.000 0.000
Zn1 0.500 0.500 0.000
Pt1 0.000 0.500 0.500
Pt2 0.500 0.000 0.500

crystal system: orthorhombic
energy of formation from the pure elements: -579 meV/atom
N(E_F): 1.35 states/eV/f.u.
space group: No. 65
mass density: 13.65 g cm⁻³

---

## Tc2NiPd (PBE)

Data for a relaxed structure of Tc2NiPd.

Unit cell a=6.682 b=6.682 c=6.682 alpha=132.60 beta=132.60 gamma=69.28
Fractional coordinates of all 8 atoms:
Tc1 0.097 0.625 0.972
Tc2 0.375 0.347 0.472
Tc3 0.653 0.125 0.028
Tc4 0.875 0.903 0.528
Ni1 0.000 0.000 0.000
Ni2 0.750 0.250 0.500
Pd1 0.250 0.750 0.500
Pd2 0.500 0.500 0.000

crystal system: tetragonal
energy of formation from the pure elements: 1441 meV/atom
N(E_F): 3.23 states/eV/f.u.
space group: No. 122
mass density: 7.56 g cm⁻³
energy relative to the lowest polymorph listed for this composition: 980.5 meV/atom

---

## LiHg2Au6 (PBE)

Data for a relaxed structure of LiHg2Au6.

Unit cell a=8.976 b=8.976 c=4.701 alpha=94.96 beta=94.96 gamma=64.57
Fractional coordinates of all 18 atoms:
Li1 0.144 0.856 0.750
Li2 0.856 0.144 0.250
Hg1 0.178 0.504 0.933
Hg2 0.496 0.822 0.567
Hg3 0.504 0.178 0.433
Hg4 0.822 0.496 0.067
Au1 0.001 0.186 0.751
Au2 0.134 0.337 0.399
Au3 0.186 0.001 0.251
Au4 0.321 0.569 0.473
Au5 0.337 0.134 0.899
Au6 0.431 0.679 0.027
Au7 0.569 0.321 0.973
Au8 0.663 0.866 0.101
Au9 0.679 0.431 0.527
Au10 0.814 0.999 0.749
Au11 0.866 0.663 0.601
Au12 0.999 0.814 0.249

crystal system: monoclinic
energy of formation from the pure elements: -76 meV/atom
N(E_F): 2.35 states/eV/f.u.
space group: No. 15
mass density: 15.52 g cm⁻³

---

## Er2Mg2Pd3 (PBE)

Data for a relaxed structure of Er2Mg2Pd3.

Unit cell a=4.816 b=4.829 c=7.766 alpha=90.29 beta=107.89 gamma=119.81
Fractional coordinates of all 7 atoms:
Er1 0.231 0.114 0.345
Er2 0.769 0.886 0.655
Mg1 0.261 0.632 0.892
Mg2 0.739 0.368 0.108
Pd1 0.000 0.500 0.500
Pd2 0.492 0.249 0.740
Pd3 0.508 0.751 0.260

crystal system: triclinic
energy of formation from the pure elements: -742 meV/atom
N(E_F): 3.62 states/eV/f.u.
space group: No. 2
mass density: 7.97 g cm⁻³
energy relative to the lowest polymorph listed for this composition: 0.0 meV/atom

---

## NdDy2Te4 (PBE)

Data for a relaxed structure of NdDy2Te4.

Unit cell a=8.618 b=8.618 c=7.595 alpha=115.72 beta=115.72 gamma=29.50
Fractional coordinates of all 7 atoms:
Nd1 0.000 0.000 0.000
Dy1 0.255 0.255 0.268
Dy2 0.745 0.745 0.732
Te1 0.126 0.126 0.460
Te2 0.366 0.366 0.028
Te3 0.634 0.634 0.972
Te4 0.874 0.874 0.540

crystal system: monoclinic
N(E_F): 3.03 states/eV/f.u.
space group: No. 12
mass density: 6.55 g cm⁻³
energy relative to the lowest polymorph listed for this composition: 0.0 meV/atom